4
Lattice="-3.4655 -1.2857 1.6216 -0.1533 -0.9916 3.9097 -3.2033 7.0097 3.7359" Properties=species:S:1:pos:R:3 comment="PBE Pm2InIr, relaxed" formation_enthalpy_0k_ev_per_atom=-0.4734 e_tot_ev_per_atom=-5.75 relative_energy_mev_per_atom=111 sg=R-3m n_ef_per_ev_cell=1.81 pbc="T T T"
Pm -1.6012 0.7771 2.2179
Ir 0.0000 0.0000 0.0000
In -3.4111 2.3662 4.6336
Pm -5.2210 3.9552 7.0492